DFT (PBE-GGA) results for an optimized crystal structure of PrNd2Sm8.

abc: 17.390 6.734 6.721
angles: 90.00 104.01 90.00
Space group C2/m (No. 12)
Inequivalent atoms, fractional coordinates:
Pr1 0.000 0.000 0.000
Nd1 0.203 0.000 0.354
Sm1 0.072 0.500 0.197
Sm2 0.096 0.261 0.676
Sm3 0.247 0.500 0.094

energy of formation from the pure elements	0.161	eV per atom
distance to the lowest polymorph of the same formula	1.614	eV/f.u.
N(E_F)	33.10	states/eV per cell

***

DFT (PBE-GGA) results for an optimized crystal structure of Pm2HgGe4Pt3.

abc: 4.373 4.373 10.471
angles: 90.00 90.00 90.00
Space group P-4m2 (No. 115)
Inequivalent atoms, fractional coordinates:
Pm1 0.000 0.500 0.245
Hg1 0.000 0.000 0.500
Ge1 0.000 0.000 0.000
Ge2 0.000 0.500 0.647
Ge3 0.500 0.500 0.000
Pt1 0.000 0.500 0.881
Pt2 0.500 0.500 0.500

energy of formation from the pure elements	-0.755	eV per atom
N(E_F)	3.74	states/eV per cell